A plane-wave DFT calculation with GGA-PBE was carried out for a relaxed YMoSI2 crystal.

```
data_YMoSI2
_cell_length_a 5.9792
_cell_length_b 5.9792
_cell_length_c 4.3932
_cell_angle_alpha 90.00
_cell_angle_beta 90.00
_cell_angle_gamma 90.00
_space_group_name_H-M_alt 'P 4/m m m'
_space_group_IT_number 123
_space_group_name_Hall '-P 4 2'
loop_
_atom_site_label
_atom_site_type_symbol
_atom_site_fract_x
_atom_site_fract_y
_atom_site_fract_z
_atom_site_occupancy
Y1 Y 0.0000 0.0000 0.0000 1
Mo1 Mo 0.5000 0.5000 0.0000 1
S1 S 0.5000 0.5000 0.5000 1
I1 I 0.0000 0.5000 0.5000 1
```

Energy relative to the elements, uncorrected = 0.564 eV/atom

***

A plane-wave DFT calculation with GGA-PBE was carried out for a relaxed Y2MoSI crystal.

```
data_Y2MoSI
_cell_length_a 5.6988
_cell_length_b 5.6988
_cell_length_c 4.7770
_cell_angle_alpha 90.00
_cell_angle_beta 90.00
_cell_angle_gamma 90.00
_space_group_name_H-M_alt 'P 4/m m m'
_space_group_IT_number 123
_space_group_name_Hall '-P 4 2'
loop_
_atom_site_label
_atom_site_type_symbol
_atom_site_fract_x
_atom_site_fract_y
_atom_site_fract_z
_atom_site_occupancy
Y1 Y 0.0000 0.5000 0.0000 1
Mo1 Mo 0.0000 0.0000 0.5000 1
S1 S 0.5000 0.5000 0.5000 1
I1 I 0.0000 0.0000 0.0000 1
```

Energy relative to the elements, uncorrected = 0.847 eV/atom

***

A plane-wave DFT calculation with GGA-PBE was carried out for a relaxed SbMo2I crystal.

```
data_SbMo2I
_cell_length_a 6.6963
_cell_length_b 6.6963
_cell_length_c 6.6963
_cell_angle_alpha 90.00
_cell_angle_beta 90.00
_cell_angle_gamma 90.00
_space_group_name_H-M_alt 'F m -3 m'
_space_group_IT_number 225
_space_group_name_Hall '-F 4 2 3'
loop_
_atom_site_label
_atom_site_type_symbol
_atom_site_fract_x
_atom_site_fract_y
_atom_site_fract_z
_atom_site_occupancy
Sb1 Sb 0.0000 0.0000 0.0000 1
Mo1 Mo 0.2500 0.2500 0.2500 1
I1 I 0.0000 0.0000 0.5000 1
```

Energy relative to the elements, uncorrected = 0.691 eV/atom
Relative energy among the computed polymorphs = 0.00 eV per formula unit

***

A plane-wave DFT calculation with GGA-PBE was carried out for a relaxed SbMo3I crystal.

```
data_SbMo3I
_cell_length_a 4.9250
_cell_length_b 4.9250
_cell_length_c 4.9250
_cell_angle_alpha 90.00
_cell_angle_beta 90.00
_cell_angle_gamma 90.00
_space_group_name_H-M_alt 'P m -3 m'
_space_group_IT_number 221
_space_group_name_Hall '-P 4 2 3'
loop_
_atom_site_label
_atom_site_type_symbol
_atom_site_fract_x
_atom_site_fract_y
_atom_site_fract_z
_atom_site_occupancy
Sb1 Sb 0.0000 0.0000 0.0000 1
Mo1 Mo 0.0000 0.5000 0.5000 1
I1 I 0.5000 0.5000 0.5000 1
```

Energy relative to the elements, uncorrected = 1.976 eV/atom
Relative energy among the computed polymorphs = 0.00 eV per formula unit